No. 1
DFT (PBE) results for crystalline RbInAg2Br6 at its relaxed geometry. Values from VASP.

The structure in Quantum ESPRESSO input format:
```
&SYSTEM
  ibrav = 0, nat = 10, ntyp = 4
/
ATOMIC_SPECIES
Br 79.90 Br.upf
Rb 85.47 Rb.upf
Ag 107.87 Ag.upf
In 114.82 In.upf
ATOMIC_POSITIONS angstrom
Br -3.874 3.210 -7.644
Br -3.362 4.422 -3.562
Br -7.679 6.010 -4.238
Br -6.812 2.442 -4.127
Br -4.618 7.279 -6.508
Br -7.806 3.993 -7.306
Rb -7.563 7.068 -8.538
Ag -3.816 7.953 -9.276
Ag -5.375 4.634 -5.627
In -1.304 2.644 -3.084
CELL_PARAMETERS angstrom
-2.032 6.753 -2.205
-1.681 1.226 -7.089
-7.767 1.116 -1.816
```

space group	R3, No. 146

---

No. 2
DFT (PBE) results for crystalline RbInAgBr3 at its relaxed geometry. Values from VASP.

The structure in Quantum ESPRESSO input format:
```
&SYSTEM
  ibrav = 0, nat = 12, ntyp = 4
/
ATOMIC_SPECIES
Br 79.90 Br.upf
Rb 85.47 Rb.upf
In 114.82 In.upf
Ag 107.87 Ag.upf
ATOMIC_POSITIONS angstrom
Br -4.418 -3.379 -1.227
Br -4.841 -5.990 2.324
Br -6.094 -8.947 -0.693
Br -5.589 2.577 5.462
Br -7.265 -2.991 5.997
Br -6.842 -0.381 2.445
Rb -9.472 -5.088 4.341
Rb -2.210 -1.282 0.428
In -4.313 0.954 3.518
In -7.369 -7.324 1.251
Ag -8.549 -0.989 4.317
Ag -3.134 -5.381 0.452
CELL_PARAMETERS angstrom
-3.576 0.788 -3.004
-2.487 -10.496 0.207
-5.620 3.338 7.566
```

space group	P2_1/m, No. 11

---

No. 3
DFT (PBE) results for crystalline Rb2InAgBr4 at its relaxed geometry. Values from VASP.

The structure in Quantum ESPRESSO input format:
```
&SYSTEM
  ibrav = 0, nat = 16, ntyp = 4
/
ATOMIC_SPECIES
Ag 107.87 Ag.upf
Br 79.90 Br.upf
In 114.82 In.upf
Rb 85.47 Rb.upf
ATOMIC_POSITIONS angstrom
Ag 4.927 -4.805 6.897
Ag 2.330 2.332 3.436
Br 4.208 4.151 3.342
Br 7.383 7.329 0.043
Br 7.026 2.259 0.017
Br 4.851 -0.109 3.478
Br 0.452 0.512 3.530
Br -0.191 4.772 3.393
Br -2.366 2.405 6.854
Br -2.723 -2.665 6.828
In 7.064 2.202 3.423
In -0.133 4.734 -0.013
Rb 4.601 4.604 -0.025
Rb -2.271 -2.272 3.461
Rb 2.464 -2.402 3.448
Rb 4.734 -0.130 -0.013
CELL_PARAMETERS angstrom
9.468 -0.260 -0.025
-0.267 9.468 -0.025
-4.541 -4.544 6.922
```

space group	C2/c, No. 15

---

| no. | uncorrected formation energy (meV/atom) | total moment (Bohr magnetons per cell) |
| --- | --- | --- |
| 1 | -783 | 0.00 |
| 2 | -875 | 0.00 |
| 3 | -1075 | 0.00 |